(1)
First-principles (PBE) data for a geometry-optimized Ac8P3PtI4 structure, as listed in Alexandria via LeMat-Bulk.

Values from the calculation:
DOS at the Fermi energy, states/eV/atom: 0.626
Total DFT energy (no corrections), eV for the cell shown: -81.34
Formation energy (no corrections), eV per atom: -1.2502

Unit cell a=8.9743 b=9.6507 c=8.9743 alpha=117.72 beta=120.00 gamma=90.00
With the nearest neighbours (Å) after each atom.
Sites, in units of the cell vectors:
Ac  0.7346  0.6954  0.9651  1 Pt 3.02, 2 P 3.05
Ac  0.2678  0.3035  0.5356  3 P 3.04
P  0.5000  0.5000  0.0000  6 Ac 3.04-3.05
Ac  0.2303  0.6953  0.4607  1 Pt 3.02, 2 P 3.05
Ac  0.7697  0.3047  0.5393  1 Pt 3.02, 2 P 3.05
Ac  0.7322  0.6965  0.4644  3 P 3.04
I  0.0000  0.0000  0.0000  6 Ac 3.58
I  0.5000  0.0000  0.0000  6 Ac 3.60
Ac  0.2304  0.6954  0.9651  1 Pt 3.02, 2 P 3.05
Ac  0.7696  0.3046  0.0349  1 Pt 3.02, 2 P 3.05
P  0.0000  0.5000  0.5000  6 Ac 3.04-3.05
I  0.0000  0.0000  0.5000  6 Ac 3.58
Ac  0.2654  0.3046  0.0349  1 Pt 3.02, 2 P 3.05
Pt  0.0000  0.5000  0.0000  6 Ac 3.02
I  0.5000  0.0000  0.5000  6 Ac 3.58
P  0.5000  0.5000  0.5000  6 Ac 3.04-3.05

---

(2)
First-principles (PBE) data for a geometry-optimized Ac6PRh2I3 structure, as listed in Alexandria via LeMat-Bulk.

Values from the calculation:
DOS at the Fermi energy, states/eV/atom: 0.199
Total DFT energy (no corrections), eV for the cell shown: -62.42
Formation energy (no corrections), eV per atom: -1.0837

Unit cell a=7.7008 b=7.7008 c=8.9343 alpha=98.19 beta=98.19 gamma=119.98
With the nearest neighbours (Å) after each atom.
Sites, in units of the cell vectors:
I  0.1650  0.8350  0.5000  6 Ac 3.68-3.74
Ac  0.7185  0.7185  0.1863  2 Rh 2.99, 1 P 3.09
Ac  0.5947  0.9379  0.8138  2 Rh 2.99, 1 P 3.09
Rh  0.3332  0.6668  0.0000  6 Ac 2.99
Rh  0.6668  0.3332  0.0000  6 Ac 2.99
Ac  0.9379  0.5947  0.8138  2 Rh 2.99, 1 P 3.09
I  0.5000  0.5000  0.5000  6 Ac 3.66-3.75
I  0.8350  0.1650  0.5000  6 Ac 3.68-3.74
Ac  0.4053  0.0621  0.1862  2 Rh 2.99, 1 P 3.09
Ac  0.2815  0.2815  0.8137  2 Rh 2.99, 1 P 3.09
P  0.0000  0.0000  0.0000  6 Ac 3.09
Ac  0.0621  0.4053  0.1862  2 Rh 2.99, 1 P 3.09

---

(3)
First-principles (PBE) data for a geometry-optimized Ac4PRhI2 structure, as listed in Alexandria via LeMat-Bulk.

Values from the calculation:
DOS at the Fermi energy, states/eV/atom: 0.798
Total DFT energy (no corrections), eV for the cell shown: -41.17
Formation energy (no corrections), eV per atom: -1.1090

Unit cell a=4.3155 b=8.0157 c=8.6834 alpha=105.92 beta=90.00 gamma=90.00
With the nearest neighbours (Å) after each atom.
Sites, in units of the cell vectors:
Ac  0.0000  0.2853  0.8142  2 Rh 2.95, 1 P 3.14
P  0.0000  0.0000  0.0000  6 Ac 3.05-3.14
Rh  0.5000  0.5000  0.0000  6 Ac 2.95-3.06
Ac  0.5000  0.7656  0.8058  2 P 3.05, 1 Rh 3.06
Ac  0.0000  0.7147  0.1858  2 Rh 2.95, 1 P 3.14
I  0.5000  0.0000  0.5000  6 Ac 3.65-3.73
I  0.0000  0.5000  0.5000  6 Ac 3.60-3.62
Ac  0.5000  0.2344  0.1942  2 P 3.05, 1 Rh 3.06

---

(4)
First-principles (PBE) data for a geometry-optimized Ac8PRh3I4 structure, as listed in Alexandria via LeMat-Bulk.

Values from the calculation:
DOS at the Fermi energy, states/eV/atom: 0.561
Total DFT energy (no corrections), eV for the cell shown: -83.41
Formation energy (no corrections), eV per atom: -1.0546

Unit cell a=8.8763 b=9.9912 c=8.8764 alpha=116.39 beta=120.00 gamma=90.00
With the nearest neighbours (Å) after each atom.
Sites, in units of the cell vectors:
Ac  0.2712  0.3139  0.5425  3 Rh 3.02
Ac  0.7664  0.3149  0.5327  2 Rh 2.98, 1 P 3.08
Ac  0.2337  0.6851  0.9517  2 Rh 2.98, 1 P 3.08
Ac  0.7181  0.6851  0.9517  2 Rh 2.98, 1 P 3.08
I  0.5000  0.0000  0.5000  6 Ac 3.72-3.75
Rh  0.5000  0.5000  0.5000  6 Ac 2.98-3.02
Ac  0.7288  0.6861  0.4575  3 Rh 3.02
I  0.0000  0.0000  0.5000  6 Ac 3.72-3.75
Rh  0.0000  0.5000  0.5000  6 Ac 2.98-3.02
P  0.0000  0.5000  0.0000  6 Ac 3.08
Rh  0.5000  0.5000  0.0000  6 Ac 2.98-3.02
I  0.5000  0.0000  0.0000  6 Ac 3.67
I  0.0000  0.0000  0.0000  6 Ac 3.71-3.75
Ac  0.2819  0.3149  0.0483  2 Rh 2.98, 1 P 3.08
Ac  0.7663  0.3149  0.0483  2 Rh 2.98, 1 P 3.08
Ac  0.2336  0.6851  0.4673  2 Rh 2.98, 1 P 3.08